1.
Computed, not measured: a relaxed SrAgGe2Au4 crystal at the PBE level of DFT.

Structure (POSCAR):
```
SrAgGe2Au4
1.0
2.277 1.315 9.621
-2.277 1.315 9.621
0.000 -2.629 9.621
Sr Ag Ge Au
1 1 2 4
Cartesian
0.000 0.000 0.000
0.000 0.000 14.432
0.000 0.000 6.930
0.000 0.000 21.934
0.000 0.000 3.750
0.000 0.000 11.548
0.000 0.000 17.316
0.000 0.000 25.114
```

**Total energy**: -3.5750 eV per atom
**Calculated formation energy**: -20.8 kJ/mol of atoms
**D(E_F)**: 0.442 states/eV per atom



2.
Computed, not measured: a relaxed Ag2GeTe4Au crystal at the PBE level of DFT.

Structure (POSCAR):
```
Ag2GeTe4Au
1.0
-3.136 3.136 6.433
3.136 -3.136 6.433
3.136 3.136 -6.433
Ag Ge Te Au
2 1 4 1
Cartesian
3.136 0.000 3.216
0.000 3.136 3.216
0.000 0.000 0.000
1.538 1.538 -1.559
1.599 -1.599 7.992
1.599 1.599 4.874
-1.599 1.599 7.992
0.000 0.000 6.433
```

**Total energy**: -3.3337 eV per atom
**Formation energy (no corrections)**: -6.10 kJ/mol of atoms
**D(E_F)**: 0.549 states/eV per atom



3.
Computed, not measured: a relaxed AgGeTe4Au2 crystal at the PBE level of DFT.

Structure (POSCAR):
```
AgGeTe4Au2
1.0
-3.161 3.161 6.305
3.161 -3.161 6.305
3.161 3.161 -6.305
Ag Ge Te Au
1 1 4 2
Cartesian
0.000 0.000 0.000
0.000 0.000 6.305
1.537 -1.537 4.722
1.624 1.624 1.582
-1.537 1.537 4.722
1.537 1.537 7.887
3.161 0.000 3.152
0.000 3.161 3.152
```

**Total energy**: -3.3914 eV per atom
**Formation energy (no corrections)**: -6.52 kJ/mol of atoms
**D(E_F)**: 0.520 states/eV per atom



4.
Computed, not measured: a relaxed ThAgGeAu crystal at the PBE level of DFT.

Structure (POSCAR):
```
ThAgGeAu
1.0
0.000 3.531 3.531
3.531 0.000 3.531
3.531 3.531 0.000
Th Ag Ge Au
1 1 1 1
Cartesian
0.000 0.000 0.000
3.531 3.531 3.531
1.765 1.765 1.765
5.296 5.296 5.296
```

**Total energy**: -4.9606 eV per atom
**Calculated formation energy**: -40.4 kJ/mol of atoms
**D(E_F)**: 0.269 states/eV per atom



5.
Computed, not measured: a relaxed Tl2AgGeAu2 crystal at the PBE level of DFT.

Structure (POSCAR):
```
Tl2AgGeAu2
1.0
-3.026 7.262 3.147
3.026 -7.262 3.147
3.026 7.262 -3.147
Tl Ag Ge Au
4 2 2 4
Cartesian
1.233 2.601 0.000
1.233 -2.601 3.147
1.792 9.863 0.000
1.792 4.660 3.147
0.000 0.000 1.574
0.000 0.000 4.721
3.026 0.000 1.574
0.000 7.262 1.574
4.308 1.693 0.000
1.282 5.569 0.000
1.743 1.693 3.147
-1.282 5.569 3.147
```

**Total energy**: -3.1189 eV per atom
**Calculated formation energy**: 0.7 kJ/mol of atoms
**D(E_F)**: 0.299 states/eV per atom



6.
Computed, not measured: a relaxed TlAgGeAu2 crystal at the PBE level of DFT.

Structure (POSCAR):
```
TlAgGeAu2
1.0
4.887 0.000 0.000
0.000 4.887 0.000
0.000 0.000 5.554
Tl Ag Ge Au
1 1 1 2
Cartesian
0.000 0.000 0.000
2.443 2.443 0.000
0.000 0.000 2.777
0.000 2.443 2.777
2.443 0.000 2.777
```

**Total energy**: -2.8449 eV per atom
**Calculated formation energy**: 41.8 kJ/mol of atoms
**Polymorph energy (0 for the lowest one)**: 0.291 eV per atom
**D(E_F)**: 0.195 states/eV per atom



7.
Computed, not measured: a relaxed Tl2AgGe3Au12 crystal at the PBE level of DFT.

Structure (POSCAR):
```
Tl2AgGe3Au12
1.0
4.462 2.576 5.851
-4.462 2.576 5.851
0.000 -5.153 5.851
Tl Ag Ge Au
2 1 3 12
Cartesian
0.000 0.000 1.762
0.000 0.000 15.792
0.000 0.000 8.777
-2.231 -1.288 5.851
-2.231 1.288 11.703
0.000 2.576 5.851
-2.379 -1.373 8.392
0.000 -2.433 5.178
-2.107 1.216 5.178
0.000 -2.747 9.162
-2.379 1.373 9.162
-2.107 -1.216 12.376
2.107 1.216 5.178
2.379 -1.373 8.392
0.000 2.747 8.392
2.107 -1.216 12.376
0.000 2.433 12.376
2.379 1.373 9.162
```

**Total energy**: -3.2002 eV per atom
**Calculated formation energy**: 16.9 kJ/mol of atoms
**D(E_F)**: 0.264 states/eV per atom



8.
Computed, not measured: a relaxed TlAgGeAu2 crystal at the PBE level of DFT.

Structure (POSCAR):
```
TlAgGeAu2
1.0
4.952 0.000 0.000
0.000 4.952 0.000
0.000 0.000 5.060
Tl Ag Ge Au
1 1 1 2
Cartesian
0.000 0.000 0.000
2.476 2.476 0.000
2.476 2.476 2.530
0.000 2.476 2.530
2.476 0.000 2.530
```

**Total energy**: -3.1360 eV per atom
**Calculated formation energy**: 13.7 kJ/mol of atoms
**Polymorph energy (0 for the lowest one)**: 0.000 eV per atom
**D(E_F)**: 0.172 states/eV per atom



9.
Computed, not measured: a relaxed Ag2GeWAu crystal at the PBE level of DFT.

Structure (POSCAR):
```
Ag2GeWAu
1.0
4.695 0.000 0.000
0.000 4.695 0.000
0.000 0.000 4.726
Ag Ge W Au
2 1 1 1
Cartesian
0.000 2.348 0.000
2.348 0.000 0.000
0.000 0.000 0.000
2.348 2.348 2.363
0.000 0.000 2.363
```

**Total energy**: -3.8265 eV per atom
**Calculated formation energy**: 143.1 kJ/mol of atoms
**D(E_F)**: 0.976 states/eV per atom



10.
Computed, not measured: a relaxed YAgGeAu crystal at the PBE level of DFT.

Structure (POSCAR):
```
YAgGeAu
1.0
0.000 3.439 3.439
3.439 0.000 3.439
3.439 3.439 0.000
Y Ag Ge Au
1 1 1 1
Cartesian
0.000 0.000 0.000
3.439 3.439 3.439
5.158 5.158 5.158
1.719 1.719 1.719
```

**Total energy**: -4.7640 eV per atom
**Calculated formation energy**: -44.5 kJ/mol of atoms
**D(E_F)**: 0.473 states/eV per atom



11.
Computed, not measured: a relaxed Ag2H2Au crystal at the PBE level of DFT.

Structure (POSCAR):
```
Ag2H2Au
1.0
-1.724 1.724 5.186
1.724 -1.724 5.186
1.724 1.724 -5.186
Ag H Au
2 2 1
Cartesian
0.000 0.000 1.589
0.000 0.000 8.783
1.724 0.000 2.593
0.000 1.724 2.593
0.000 0.000 5.186
```

**Total energy**: -2.8232 eV per atom
**Polymorph energy (0 for the lowest one)**: 0.087 eV per atom
**D(E_F)**: 0.155 states/eV per atom



12.
Computed, not measured: a relaxed Ag3HAu crystal at the PBE level of DFT.

Structure (POSCAR):
```
Ag3HAu
1.0
5.257 0.000 0.000
0.000 5.257 0.000
0.000 0.000 5.257
Ag H Au
3 1 1
Cartesian
0.000 0.000 2.629
0.000 2.629 0.000
2.629 0.000 0.000
2.629 2.629 2.629
0.000 0.000 0.000
```

**Total energy**: -1.9736 eV per atom
**Polymorph energy (0 for the lowest one)**: 0.929 eV per atom
**D(E_F)**: 0.429 states/eV per atom



13.
Computed, not measured: a relaxed Ag2H2Au crystal at the PBE level of DFT.

Structure (POSCAR):
```
Ag2H2Au
1.0
5.806 0.000 0.000
0.000 5.806 0.000
0.000 0.000 4.039
Ag H Au
4 4 2
Cartesian
1.441 1.462 0.000
1.462 4.365 0.000
4.344 1.441 0.000
4.365 4.344 0.000
1.447 1.457 2.019
1.457 4.360 2.019
4.350 1.447 2.019
4.360 4.350 2.019
0.000 0.000 2.019
2.903 2.903 2.019
```

**Total energy**: -2.9097 eV per atom
**Polymorph energy (0 for the lowest one)**: 0.000 eV per atom
**D(E_F)**: 0.169 states/eV per atom



14.
Computed, not measured: a relaxed AgH2Au crystal at the PBE level of DFT.

Structure (POSCAR):
```
AgH2Au
1.0
-2.278 2.278 4.478
2.278 -2.278 4.478
2.278 2.278 -4.478
Ag H Au
2 4 2
Cartesian
0.000 0.000 0.000
0.000 2.278 2.239
1.139 -1.006 3.359
1.272 1.139 1.120
1.139 3.285 -1.120
1.006 1.139 5.598
2.278 0.000 2.239
0.000 0.000 4.478
```

**Total energy**: -2.9537 eV per atom
**Polymorph energy (0 for the lowest one)**: 0.021 eV per atom
**D(E_F)**: 0.000 states/eV per atom



15.
Computed, not measured: a relaxed Ag3H12Au5 crystal at the PBE level of DFT.

Structure (POSCAR):
```
Ag3H12Au5
1.0
-6.066 6.066 6.066
6.066 -6.066 6.066
6.066 6.066 -6.066
Ag H Au
12 48 20
Cartesian
3.033 1.516 0.000
6.066 3.033 -1.516
1.516 0.000 3.033
7.582 0.000 3.033
0.000 3.033 1.516
3.033 -1.516 6.066
3.033 7.582 0.000
6.066 3.033 4.549
-1.516 6.066 3.033
4.549 6.066 3.033
0.000 3.033 7.582
3.033 4.549 6.066
1.824 -0.158 0.209
7.274 3.241 -3.191
7.890 0.158 0.209
7.274 -2.824 3.191
5.907 -0.209 1.824
9.257 -1.208 2.824
0.209 1.824 -0.158
8.890 2.874 -1.208
3.241 3.191 -1.208
5.857 1.824 0.158
-0.158 0.209 1.824
3.191 -1.208 3.241
5.907 5.857 -1.824
3.191 1.208 2.824
3.241 -3.191 7.274
5.857 -1.824 5.907
2.824 3.191 1.208
6.274 4.241 0.158
3.191 7.274 -2.824
5.907 0.209 4.241
1.824 5.907 -0.209
7.274 2.824 2.874
1.208 2.824 3.191
1.824 0.158 5.857
4.241 5.907 0.209
4.857 3.241 2.874
-1.208 3.241 3.191
4.241 0.158 6.274
0.158 5.857 1.824
2.874 -1.208 8.890
-0.209 1.824 5.907
3.241 2.874 4.857
0.209 7.890 0.158
2.824 9.257 -1.208
2.874 4.857 3.241
0.158 0.209 7.890
2.874 7.274 2.824
6.224 5.857 4.241
0.209 4.241 5.907
2.824 2.874 7.274
-2.824 3.191 7.274
5.857 4.241 6.224
-3.191 7.274 3.241
0.158 6.274 4.241
-1.208 8.890 2.874
-1.824 5.907 5.857
-1.208 2.824 9.257
4.241 6.224 5.857
0.000 0.000 0.000
3.033 3.033 -3.033
3.033 -3.033 3.033
6.066 0.000 0.000
9.099 1.516 0.000
6.066 -3.033 4.549
4.549 6.066 -3.033
4.549 0.000 3.033
3.033 4.549 0.000
6.066 3.033 1.516
-3.033 3.033 3.033
0.000 6.066 0.000
0.000 0.000 6.066
3.033 3.033 3.033
0.000 3.033 4.549
3.033 1.516 6.066
1.516 6.066 3.033
1.516 0.000 9.099
0.000 9.099 1.516
-3.033 4.549 6.066
```

**Total energy**: -2.8937 eV per atom
**D(E_F)**: 0.182 states/eV per atom



16.
Computed, not measured: a relaxed Ag2HAu2 crystal at the PBE level of DFT.

Structure (POSCAR):
```
Ag2HAu2
1.0
5.499 0.000 0.000
0.000 5.499 0.000
0.000 0.000 5.268
Ag H Au
4 2 4
Cartesian
1.004 1.745 0.000
1.745 4.495 0.000
3.754 1.004 0.000
4.495 3.754 0.000
0.000 0.000 0.000
2.750 2.750 0.000
0.980 3.730 2.634
1.769 0.980 2.634
3.730 4.519 2.634
4.519 1.769 2.634
```

**Total energy**: -2.9172 eV per atom
**Polymorph energy (0 for the lowest one)**: 0.020 eV per atom
**D(E_F)**: 0.292 states/eV per atom



17.
Computed, not measured: a relaxed AgH2Au crystal at the PBE level of DFT.

Structure (POSCAR):
```
AgH2Au
1.0
0.000 2.796 2.796
2.796 0.000 2.796
2.796 2.796 0.000
Ag H Au
1 2 1
Cartesian
0.000 0.000 0.000
1.398 1.398 1.398
4.194 4.194 4.194
2.796 2.796 2.796
```

**Total energy**: -2.5258 eV per atom
**Polymorph energy (0 for the lowest one)**: 0.449 eV per atom
**D(E_F)**: 0.199 states/eV per atom



18.
Computed, not measured: a relaxed Ag3HAu crystal at the PBE level of DFT.

Structure (POSCAR):
```
Ag3HAu
1.0
4.209 0.000 0.000
0.000 4.209 0.000
0.000 0.000 4.209
Ag H Au
3 1 1
Cartesian
0.000 0.000 2.104
0.000 2.104 0.000
2.104 0.000 0.000
0.000 0.000 0.000
2.104 2.104 2.104
```

**Total energy**: -2.9026 eV per atom
**Polymorph energy (0 for the lowest one)**: 0.000 eV per atom
**D(E_F)**: 0.271 states/eV per atom



Sequential M_tot output: 0.00, 0.00, 0.00, 0.00, 0.00, 0.00, 0.00, 0.00, 0.00, 0.00, 0.00, 0.77, 0.00, 0.00, 0.00, 0.00, 0.00, 0.00 Bohr magnetons per cell